The following is a DFT calculation (PBE-GGA) of an optimized crystal structure of Ti2Nb4Sn3.

As for the crystal system: monoclinic. As for the density of states at the Fermi level: 0.901 states/eV/atom. For the energy of formation, the calculation gives -0.15 eV per atom.

It has space group C2/m (No. 12), with a = 9.989 Å, b = 4.606 Å, c = 8.786 Å, α = 90.00°, β = 122.08° and γ = 90.00°. The asymmetric unit holds Ti at (0.169, 0.000, 0.226), Nb at (0.017, 0.500, 0.672), Nb at (0.157, 0.000, 0.896), Sn at (0.000, 0.500, 0.000) and Sn at (0.168, 0.000, 0.562).